Below is a relaxed structure of NaNpVO6, with properties calculated at the PBE with a Hubbard U level.

Summary:
D(E_F) (states/eV per atom): 0.209
Calculated volume (Å³/f.u.): 126
Energy (eV/atom): -7.96
M_tot (μB/f.u.): 1.02

The structure in CIF format:
```
data_NaNpVO6
_chemical_formula_sum 'Na2 Np2 V2 O12'
_cell_length_a 5.3469
_cell_length_b 5.3469
_cell_length_c 10.1958
_cell_angle_alpha 90.00
_cell_angle_beta 90.00
_cell_angle_gamma 120.00
_space_group_name_H-M_alt 'P -3 1 c'
_space_group_IT_number 163
_space_group_name_Hall '-P 3 2c'
loop_
_atom_site_label
_atom_site_fract_x
_atom_site_fract_y
_atom_site_fract_z
Na1 0.0000 0.0000 0.0000
Np1 0.3333 0.6667 0.2500
V1 0.3333 0.6667 0.7500
O1 0.0221 0.3845 0.6468
```